Entry 1:
Entry from Alexandria via LeMat-Bulk: Ac4Tb3Nd2 after structural relaxation (GGA-PBE).

extended XYZ file:
```
9
Lattice="5.404 0.000 0.000 -2.693 5.892 0.000 -0.003 -3.339 10.811" Properties=species:S:1:pos:R:3 pbc="T T T"
Ac -0.001 -1.054 3.614
Ac 0.005 3.562 1.206
Ac 2.702 -1.009 9.606
Ac 2.708 3.606 7.197
Tb 0.000 0.000 0.000
Tb 0.004 2.451 4.859
Tb 2.703 0.102 5.952
Nd 0.002 1.295 8.348
Nd 2.705 1.257 2.463
```

Computed properties:
The total energy comes out at -4.380 eV/atom. The spin magnetization is 0.000 μB per atom. Its energy relative to the elements is 4.74 kJ/mol of atoms. The density of states at the Fermi level comes out at 1.656 states/eV/atom. The space-group type is P-1, No. 2. The calculation puts the calculated volume at 38.25 Å³/atom.

Entry 2:
Entry from Alexandria via LeMat-Bulk: Ac4TbNd7 after structural relaxation (GGA-PBE).

extended XYZ file:
```
12
Lattice="3.793 0.000 0.000 -1.896 3.284 0.000 0.000 0.000 36.762" Properties=species:S:1:pos:R:3 pbc="T T T"
Ac 0.000 2.190 6.028
Ac 0.000 2.190 15.255
Ac 1.896 1.095 21.507
Ac 1.896 1.095 30.734
Tb 0.000 0.000 0.000
Nd 0.000 0.000 9.161
Nd 0.000 0.000 18.381
Nd 0.000 0.000 27.600
Nd 0.000 2.190 24.644
Nd 0.000 2.190 33.874
Nd 1.896 1.095 2.887
Nd 1.896 1.095 12.117
```

Computed properties:
The total energy comes out at -4.498 eV/atom. The spin magnetization is 0.000 μB per atom. Its energy relative to the elements is 3.74 kJ/mol of atoms. The density of states at the Fermi level comes out at 1.622 states/eV/atom. The space-group type is P-3m1, No. 164. The calculation puts the calculated volume at 38.16 Å³/atom.

Entry 3:
Entry from Alexandria via LeMat-Bulk: Ac3Tb6Nd2 after structural relaxation (GGA-PBE).

extended XYZ file:
```
11
Lattice="3.207 -5.566 0.000 3.207 5.566 0.000 -2.164 0.000 11.638" Properties=species:S:1:pos:R:3 pbc="T T T"
Ac 0.000 0.000 0.000
Ac 3.207 1.838 0.000
Ac 3.207 -1.838 0.000
Tb 1.068 1.847 2.998
Tb -0.011 0.000 8.649
Tb 1.068 -1.847 2.998
Tb 3.181 1.847 8.640
Tb 4.260 0.000 2.990
Tb 3.181 -1.847 8.640
Nd 2.124 3.717 5.819
Nd 2.124 -3.717 5.819
```

Computed properties:
The total energy comes out at -4.290 eV/atom. The spin magnetization is 0.000 μB per atom. Its energy relative to the elements is 21.49 kJ/mol of atoms. The density of states at the Fermi level comes out at 1.384 states/eV/atom. The space-group type is C2/m, No. 12. The calculation puts the calculated volume at 37.77 Å³/atom.

Entry 4:
Entry from Alexandria via LeMat-Bulk: Ac3Tb3Nd5 after structural relaxation (GGA-PBE).

extended XYZ file:
```
11
Lattice="9.720 0.000 0.000 -4.860 8.418 0.000 0.000 0.000 6.116" Properties=species:S:1:pos:R:3 pbc="T T T"
Ac -2.834 4.908 0.000
Ac 2.026 3.510 0.000
Ac 5.668 0.000 0.000
Tb -3.626 6.280 3.058
Tb 1.234 2.137 3.058
Tb 7.252 0.000 3.058
Nd -1.835 3.179 3.058
Nd 0.000 5.612 3.058
Nd 3.671 0.000 3.058
Nd 3.025 5.239 3.058
Nd 4.860 2.806 3.058
```

Computed properties:
The total energy comes out at -3.870 eV/atom. The spin magnetization is 0.000 μB per atom. Its energy relative to the elements is 65.70 kJ/mol of atoms. The density of states at the Fermi level comes out at 1.990 states/eV/atom. The space-group type is P-62m, No. 189. The calculation puts the calculated volume at 45.49 Å³/atom.